This record from the Alexandria database describes an optimized crystal structure of Pm2Ho4Cd. The functional is PBE.

Properties
The density of states at the Fermi level is 9.98 states/eV per cell. For the energy relative to the elements, the calculation gives 1 meV/atom. The value obtained for the total DFT energy (no corrections) is -4.1031 eV per atom.

Geometry as POSCAR:
```
Pm2Ho4Cd
1.0
8.4935 -1.7893 0.0000
8.4935 1.7893 0.0000
-3.8035 0.0000 7.2558
Pm Ho Cd
2 4 1
Direct
0.2134 0.2134 0.1303
0.7866 0.7866 0.8697
0.1420 0.1420 0.4677
0.4410 0.4410 0.2654
0.5590 0.5590 0.7346
0.8580 0.8580 0.5323
0.0000 0.0000 0.0000
```

=====

This record from the Alexandria database describes an optimized crystal structure of PmHo2Cd6. The functional is PBE.

Properties
The density of states at the Fermi level is 7.58 states/eV per cell. For the energy relative to the elements, the calculation gives -317 meV/atom. The value obtained for the total DFT energy (no corrections) is -2.4725 eV per atom.

Geometry as POSCAR:
```
PmHo2Cd6
1.0
8.6577 0.0000 0.0000
-4.3289 7.4978 0.0000
0.0000 0.0000 3.4272
Pm Ho Cd
1 2 6
Direct
0.0000 0.0000 0.0000
0.3333 0.6667 0.0000
0.6667 0.3333 0.0000
0.0000 0.3358 0.5000
0.0000 0.6642 0.5000
0.3358 0.0000 0.5000
0.3358 0.3358 0.5000
0.6642 0.0000 0.5000
0.6642 0.6642 0.5000
```

=====

This record from the Alexandria database describes an optimized crystal structure of PmHo2Cd. The functional is PBE.

Properties
The density of states at the Fermi level is 4.27 states/eV per cell. For the energy relative to the elements, the calculation gives -147 meV/atom. For the relative energy among the computed polymorphs, the calculation gives 3 meV/atom. The value obtained for the total DFT energy (no corrections) is -3.8525 eV per atom.

Geometry as POSCAR:
```
PmHo2Cd
1.0
-1.8919 2.7426 5.7135
1.8919 -2.7426 5.7135
1.8919 2.7426 -5.7135
Pm Ho Cd
1 2 1
Direct
0.0000 0.0000 0.0000
0.2756 0.7756 0.5000
0.7244 0.2244 0.5000
0.5000 0.5000 0.0000
```

=====

This record from the Alexandria database describes an optimized crystal structure of PmHoCd3. The functional is PBE.

Properties
The density of states at the Fermi level is 9.62 states/eV per cell. For the energy relative to the elements, the calculation gives -305 meV/atom. For the relative energy among the computed polymorphs, the calculation gives 0 meV/atom. The value obtained for the total DFT energy (no corrections) is -2.7193 eV per atom.

Geometry as POSCAR:
```
PmHoCd3
1.0
1.7495 -14.8365 0.0000
1.7495 14.8365 0.0000
0.0000 0.0000 4.9984
Pm Ho Cd
2 2 6
Direct
0.0750 0.9250 0.7500
0.9250 0.0750 0.2500
0.2151 0.7849 0.2500
0.7849 0.2151 0.7500
0.3230 0.6770 0.2500
0.3774 0.6226 0.7500
0.4759 0.5241 0.7500
0.5241 0.4759 0.2500
0.6226 0.3774 0.2500
0.6770 0.3230 0.7500
```

=====

This record from the Alexandria database describes an optimized crystal structure of Pm12Ho6Cd. The functional is PBE.

Properties
The density of states at the Fermi level is 26.97 states/eV per cell. For the energy relative to the elements, the calculation gives 114 meV/atom. The value obtained for the total DFT energy (no corrections) is -4.3802 eV per atom.

Geometry as POSCAR:
```
Pm12Ho6Cd
1.0
6.5326 3.7716 4.3170
-6.5326 3.7716 4.3170
0.0000 -7.5432 4.3170
Pm Ho Cd
12 6 1
Direct
0.0006 0.2596 0.7403
0.1705 0.5802 0.5799
0.2596 0.7403 0.0006
0.2597 0.9994 0.7404
0.4198 0.4201 0.8295
0.4201 0.8295 0.4198
0.5799 0.1705 0.5802
0.5802 0.5799 0.1705
0.7403 0.0006 0.2596
0.7404 0.2597 0.9994
0.8295 0.4198 0.4201
0.9994 0.7404 0.2597
0.1360 0.4063 0.1368
0.1368 0.1360 0.4063
0.4063 0.1368 0.1360
0.5937 0.8632 0.8640
0.8632 0.8640 0.5937
0.8640 0.5937 0.8632
0.0000 0.0000 0.0000
```

=====

This record from the Alexandria database describes an optimized crystal structure of Pm2HoCd8. The functional is PBE.

Properties
The density of states at the Fermi level is 5.72 states/eV per cell. For the energy relative to the elements, the calculation gives -248 meV/atom. The value obtained for the total DFT energy (no corrections) is -2.1930 eV per atom.

Geometry as POSCAR:
```
Pm2HoCd8
1.0
5.0122 0.0000 0.0000
0.0009 7.0833 0.0000
2.4948 2.3719 7.6232
Pm Ho Cd
2 1 8
Direct
0.2168 0.1490 0.0685
0.7832 0.8510 0.9315
0.5000 0.5000 0.5000
0.0136 0.2171 0.4707
0.1440 0.6307 0.2117
0.3276 0.6079 0.8429
0.4096 0.0405 0.6780
0.5904 0.9595 0.3220
0.6724 0.3921 0.1571
0.8560 0.3693 0.7883
0.9864 0.7829 0.5293
```

=====

This record from the Alexandria database describes an optimized crystal structure of Pm5Ho12Cd2. The functional is PBE.

Properties
The density of states at the Fermi level is 27.57 states/eV per cell. For the energy relative to the elements, the calculation gives 43 meV/atom. The value obtained for the total DFT energy (no corrections) is -4.1952 eV per atom.

Geometry as POSCAR:
```
Pm5Ho12Cd2
1.0
7.7321 -4.6285 0.0000
7.7321 4.6285 0.0000
-0.2958 0.0000 8.3085
Pm Ho Cd
5 12 2
Direct
0.0000 0.0000 0.0000
0.2346 0.2346 0.0760
0.2980 0.2980 0.4850
0.7020 0.7020 0.5150
0.7654 0.7654 0.9240
0.0374 0.6728 0.2622
0.0775 0.0775 0.3804
0.1809 0.5657 0.8276
0.3272 0.9626 0.7378
0.4343 0.8191 0.1724
0.4454 0.4454 0.1747
0.5546 0.5546 0.8253
0.5657 0.1809 0.8276
0.6728 0.0374 0.2622
0.8191 0.4343 0.1724
0.9225 0.9225 0.6196
0.9626 0.3272 0.7378
0.3261 0.6739 0.5000
0.6739 0.3261 0.5000
```

=====

This record from the Alexandria database describes an optimized crystal structure of PmHo2Cd. The functional is PBE.

Properties
The density of states at the Fermi level is 3.98 states/eV per cell. For the energy relative to the elements, the calculation gives -150 meV/atom. For the relative energy among the computed polymorphs, the calculation gives 0 meV/atom. The value obtained for the total DFT energy (no corrections) is -3.8554 eV per atom.

Geometry as POSCAR:
```
PmHo2Cd
1.0
3.6071 0.0000 0.0000
0.0000 3.6071 0.0000
0.0000 0.0000 9.0236
Pm Ho Cd
1 2 1
Direct
0.0000 0.0000 0.0000
0.5000 0.5000 0.2777
0.5000 0.5000 0.7223
0.0000 0.0000 0.5000
```

=====

This record from the Alexandria database describes an optimized crystal structure of PmHo8Cd2. The functional is PBE.

Properties
The density of states at the Fermi level is 13.22 states/eV per cell. For the energy relative to the elements, the calculation gives 38 meV/atom. The value obtained for the total DFT energy (no corrections) is -3.8891 eV per atom.

Geometry as POSCAR:
```
PmHo8Cd2
1.0
4.3687 -7.5082 0.0000
4.3687 7.5082 0.0000
-2.0983 0.0000 5.1516
Pm Ho Cd
1 8 2
Direct
0.0000 0.0000 0.0000
0.0941 0.3207 0.6156
0.2215 0.7785 0.0000
0.3207 0.0941 0.6156
0.4022 0.4022 0.2028
0.5978 0.5978 0.7972
0.6793 0.9059 0.3844
0.7785 0.2215 0.0000
0.9059 0.6793 0.3844
0.3064 0.6936 0.5000
0.6936 0.3064 0.5000
```

=====

This record from the Alexandria database describes an optimized crystal structure of Pm3HoCd. The functional is PBE.

Properties
The density of states at the Fermi level is 26.75 states/eV per cell. For the energy relative to the elements, the calculation gives -29 meV/atom. For the relative energy among the computed polymorphs, the calculation gives 73 meV/atom. The value obtained for the total DFT energy (no corrections) is -3.9781 eV per atom.

Geometry as POSCAR:
```
Pm3HoCd
1.0
7.5077 -6.6039 0.0000
7.5077 6.6039 0.0000
-1.5561 0.0000 6.2862
Pm Ho Cd
12 4 4
Direct
0.0352 0.1666 0.4762
0.1262 0.4998 0.3708
0.1666 0.0352 0.9762
0.2284 0.3702 0.8640
0.3702 0.2284 0.3640
0.4998 0.1262 0.8708
0.5002 0.8738 0.1292
0.6298 0.7716 0.6360
0.7716 0.6298 0.1360
0.8334 0.9648 0.0238
0.8738 0.5002 0.6292
0.9648 0.8334 0.5238
0.1042 0.7073 0.0138
0.2927 0.8958 0.4862
0.7073 0.1042 0.5138
0.8958 0.2927 0.9862
0.3575 0.6425 0.7500
0.4142 0.5858 0.2500
0.5858 0.4142 0.7500
0.6425 0.3575 0.2500
```

=====

This record from the Alexandria database describes an optimized crystal structure of Pm3HoCd. The functional is PBE.

Properties
The density of states at the Fermi level is 11.76 states/eV per cell. For the energy relative to the elements, the calculation gives -102 meV/atom. For the relative energy among the computed polymorphs, the calculation gives 0 meV/atom. The value obtained for the total DFT energy (no corrections) is -4.0512 eV per atom.

Geometry as POSCAR:
```
Pm3HoCd
1.0
9.8522 -1.8751 0.0000
9.8522 1.8751 0.0000
-2.0590 0.0000 8.4451
Pm Ho Cd
6 2 2
Direct
0.0044 0.0044 0.2825
0.1867 0.1867 0.3777
0.4014 0.4014 0.9632
0.5986 0.5986 0.0368
0.8133 0.8133 0.6223
0.9956 0.9956 0.7175
0.2050 0.2050 0.8294
0.7950 0.7950 0.1706
0.3970 0.3970 0.4196
0.6030 0.6030 0.5804
```